First-principles (PBE-GGA) data for a geometry-optimized Fe2POs structure, as listed in Alexandria via LeMat-Bulk.

The space group is Cm (No. 8) and the conventional cell measures 8.267, 2.707 and 4.429 Å, with angles of 90.00, 90.23 and 90.00 degrees. Symmetry generates all atoms from Fe at (0.000, 0.000, 0.000), Fe at (0.222, 0.500, 0.281), P at (0.457, 0.000, 0.383) and Os at (0.273, 0.000, 0.788).

The calculated volume is 49.6 Å³/f.u. The formation enthalpy at 0 K is 0.05 eV/atom. The value obtained for the density of states at the Fermi level is 8.8 states/eV per cell. As for the theoretical density: 11.15 Mg/m³.



First-principles (PBE-GGA) data for a geometry-optimized Pa2FeP4Os3 structure, as listed in Alexandria via LeMat-Bulk.

The space group is P-4m2 (No. 115) and the conventional cell measures 4.113, 4.113 and 9.352 Å, with angles of 90.00, 90.00 and 90.00 degrees. Symmetry generates all atoms from Pa at (0.000, 0.500, 0.248), Fe at (0.500, 0.500, 0.000), P at (0.000, 0.000, 0.500), P at (0.000, 0.500, 0.872), P at (0.500, 0.500, 0.500), Os at (0.000, 0.000, 0.000) and Os at (0.000, 0.500, 0.621).

The calculated volume is 158.2 Å³/f.u. The formation enthalpy at 0 K is -0.77 eV/atom. The value obtained for the density of states at the Fermi level is 6.9 states/eV per cell. As for the theoretical density: 12.72 Mg/m³.



First-principles (PBE-GGA) data for a geometry-optimized Fe2RePOs structure, as listed in Alexandria via LeMat-Bulk.

The space group is P4/mmm (No. 123) and the conventional cell measures 4.105, 4.105 and 4.314 Å, with angles of 90.00, 90.00 and 90.00 degrees. Symmetry generates all atoms from Fe at (0.000, 0.500, 0.000), Re at (0.000, 0.000, 0.500), P at (0.500, 0.500, 0.000) and Os at (0.500, 0.500, 0.500).

The calculated volume is 72.7 Å³/f.u. The formation enthalpy at 0 K is 0.87 eV/atom. The value obtained for the density of states at the Fermi level is 5.4 states/eV per cell. As for the theoretical density: 11.86 Mg/m³.



First-principles (PBE-GGA) data for a geometry-optimized FePOsS2 structure, as listed in Alexandria via LeMat-Bulk.

The space group is P4/mmm (No. 123) and the conventional cell measures 4.259, 4.259 and 4.251 Å, with angles of 90.00, 90.00 and 90.00 degrees. Symmetry generates all atoms from Fe at (0.000, 0.000, 0.000), P at (0.000, 0.000, 0.500), Os at (0.500, 0.500, 0.500) and S at (0.000, 0.500, 0.000).

The calculated volume is 77.1 Å³/f.u. The value obtained for the density of states at the Fermi level is 4.3 states/eV per cell. The energy above the most stable polymorph in this dataset comes out at 95.9 meV/atom. Its uncorrected formation energy is 522 kJ/mol of formula units. As for the theoretical density: 7.35 Mg/m³.